(1)
Computed, not measured: crystalline LiCoSbO4 at its relaxed geometry at the GGA-PBEsol level of DFT.

Values from the calculation:
* magnetic moment: 3.00 μB/f.u.
* formation energy (no corrections): -1365.3 meV per atom
* excess energy over the best structure of this formula in the dataset: 25 meV/atom

```
LiCoSbO4
1.0
6.021 0.000 0.000
0.000 6.021 0.000
0.000 0.000 8.447
Li Co Sb O
4 4 4 16
Cartesian
0.000 1.236 0.000
0.000 4.785 4.223
1.236 0.000 2.112
4.785 0.000 6.335
1.515 1.515 5.279
1.515 4.506 7.391
4.506 1.515 3.168
4.506 4.506 1.056
1.350 3.010 2.112
3.010 1.350 0.000
3.010 4.671 4.223
4.671 3.010 6.335
0.048 1.557 2.098
0.048 4.463 2.126
1.557 0.048 0.014
1.557 5.973 4.209
1.594 2.875 0.092
1.594 3.145 4.131
2.875 1.594 2.019
2.875 4.427 2.204
3.145 1.594 6.428
3.145 4.427 6.243
4.427 2.875 8.355
4.427 3.145 4.316
4.463 0.048 8.433
4.463 5.973 4.238
5.973 1.557 6.349
5.973 4.463 6.321
```

(2)
Computed, not measured: crystalline TiBH at its relaxed geometry at the GGA-PBEsol level of DFT.

Values from the calculation:
* final energy: -41.43 eV for the cell shown
* magnetic moment: 0.00 μB/f.u.

```
TiBH
1.0
0.000 2.563 5.543
1.589 0.000 5.543
1.589 2.563 0.000
Ti B H
2 2 2
Cartesian
1.589 2.563 1.558
1.589 2.563 9.529
1.589 1.707 5.543
1.589 3.418 5.543
0.795 1.281 2.772
2.384 3.844 8.315
```